(1)
Material: Nd2Y4Cd
Method: DFT, PBE
State: relaxed

The magnetic moment comes out at 0.00 Bohr magnetons per cell. The calculation puts the energy of formation from the pure elements at -0.01 eV/atom. As for the crystal system: monoclinic.

The structure belongs to space group C2/m (No. 12); the cell edges are 17.173, 3.622 and 8.253 Å and the angles 90.00°, 117.49° and 90.00°. Symmetry generates all atoms from Nd at (0.214, 0.000, 0.131), Y at (0.059, 0.500, 0.736), Y at (0.142, 0.000, 0.467) and Cd at (0.000, 0.000, 0.000).

=====

(2)
Material: LiNdDy2S4
Method: DFT, PBE
State: relaxed

The magnetic moment comes out at 0.00 Bohr magnetons per cell. The calculation puts the formation energy (no corrections) at -1.929 eV per atom. As for the crystal system: monoclinic.

The structure belongs to space group P2/m (No. 10); the cell edges are 6.821, 3.926 and 6.835 Å and the angles 90.00°, 109.28° and 90.00°. Symmetry generates all atoms from Li at (0.000, 0.000, 0.000), Nd at (0.500, 0.500, 0.000), Dy at (0.000, 0.500, 0.500), Dy at (0.500, 0.000, 0.500), S at (0.238, 0.000, 0.743) and S at (0.244, 0.500, 0.254).

=====

(3)
Material: B5C7
Method: DFT, PBE
State: relaxed

The magnetic moment comes out at 0.00 Bohr magnetons per cell. The value obtained for the energy above the most stable polymorph in this dataset is 1.160 eV/f.u. The calculation puts the energy of formation from the pure elements at 0.35 eV/atom. As for the crystal system: monoclinic.

The structure belongs to space group Cm (No. 8); the cell edges are 8.135, 2.647 and 7.942 Å and the angles 90.00°, 116.82° and 90.00°. Symmetry generates all atoms from B at (0.000, 0.000, 0.000), B at (0.037, 0.500, 0.487), B at (0.180, 0.500, 0.337), B at (0.233, 0.500, 0.911), B at (0.420, 0.000, 0.248), C at (0.114, 0.500, 0.103), C at (0.135, 0.000, 0.799), C at (0.137, 0.000, 0.612), C at (0.311, 0.000, 0.440), C at (0.328, 0.500, 0.137), C at (0.336, 0.000, 0.650) and C at (0.431, 0.500, 0.762).